A geometry-optimized VCdBiO5 structure, computed with PBE with a Hubbard U.

```
VCdBiO5
1.0
-1.993 2.434 4.627
-0.878 -10.635 5.216
13.483 1.379 5.081
O Bi V Cd
40 8 8 8
direct
0.580 0.214 0.934 O
0.025 0.397 0.585 O
0.639 0.253 0.741 O
0.975 0.897 0.415 O
0.598 0.481 0.903 O
0.402 0.981 0.097 O
0.441 0.568 0.417 O
0.539 0.792 0.639 O
0.139 0.753 0.759 O
0.666 0.697 0.843 O
0.861 0.253 0.241 O
0.361 0.753 0.259 O
0.166 0.197 0.657 O
0.886 0.071 0.830 O
0.039 0.292 0.861 O
0.559 0.068 0.583 O
0.334 0.197 0.157 O
0.941 0.068 0.083 O
0.525 0.897 0.915 O
0.475 0.397 0.085 O
0.024 0.878 0.922 O
0.524 0.378 0.578 O
0.366 0.012 0.764 O
0.059 0.568 0.917 O
0.114 0.571 0.170 O
0.976 0.378 0.078 O
0.961 0.792 0.139 O
0.614 0.071 0.330 O
0.461 0.292 0.361 O
0.920 0.214 0.434 O
0.098 0.981 0.597 O
0.476 0.878 0.422 O
0.420 0.714 0.066 O
0.134 0.012 0.264 O
0.834 0.697 0.343 O
0.866 0.512 0.736 O
0.386 0.571 0.670 O
0.634 0.512 0.236 O
0.902 0.481 0.403 O
0.080 0.714 0.566 O
0.279 0.378 0.698 Bi
0.752 0.530 0.588 Bi
0.721 0.878 0.302 Bi
0.221 0.378 0.198 Bi
0.748 0.530 0.088 Bi
0.248 0.030 0.412 Bi
0.252 0.030 0.912 Bi
0.779 0.878 0.802 Bi
0.300 0.064 0.653 V
0.282 0.712 0.659 V
0.700 0.564 0.347 V
0.800 0.564 0.847 V
0.200 0.064 0.153 V
0.218 0.712 0.159 V
0.782 0.212 0.841 V
0.718 0.212 0.341 V
0.790 0.230 0.586 Cd
0.744 0.892 0.044 Cd
0.710 0.230 0.086 Cd
0.756 0.892 0.544 Cd
0.290 0.730 0.914 Cd
0.244 0.392 0.456 Cd
0.210 0.730 0.414 Cd
0.256 0.392 0.956 Cd
```

Properties
raw total energy	-6.174	eV/atom
calculated density	6.25	Mg/m³
total moment	0.00	μB per atom
energy relative to the lowest polymorph listed for this composition	0.000	eV per atom
SG	Pna2_1 (33)